TmV2BiO8 | PBE+U | relaxed

Results
Total moment = 0.000 μB per formula unit
DOS at the Fermi energy = 0.00 states/eV/f.u.
Energy = -7.359 eV/atom

a b c (Å): 5.7920 5.7920 6.6471
angles (deg): 90.00 90.00 120.00
With the nearest neighbours (Å) after each atom.
Space group P-3m1 (No. 164)
Inequivalent atoms, fractional coordinates:
Tm 0.0000 0.0000 0.0000  6 O 2.23
V 0.3333 0.6667 0.3056  4 O 1.65-1.79
Bi 0.0000 0.0000 0.5000  6 O 2.44
O 0.1629 0.3258 0.2284  1 V 1.79
O 0.3333 0.6667 0.5534  1 V 1.65